The following is a DFT calculation (PBE) of crystalline YTm3Ga4 at its relaxed geometry. Values from VASP.

- Symmetry: No. 51
- ΔE_f: -0.575 eV per atom

Structure (Quantum ESPRESSO input):
```
&SYSTEM
  ibrav = 0, nat = 16, ntyp = 3
/
ATOMIC_SPECIES
Tm 168.93 Tm.upf
Ga 69.72 Ga.upf
Y 88.91 Y.upf
ATOMIC_POSITIONS angstrom
Tm 0.0000 0.0000 0.0000
Ga 2.5076 1.7363 0.0000
Y 0.0000 3.5231 5.0157
Ga 0.0101 1.7364 7.5236
Y 0.0000 3.5231 0.0000
Ga 2.5076 5.3098 0.0000
Ga 5.0051 5.3097 2.5079
Tm 2.5018 3.5231 2.5079
Tm 2.4999 0.0000 2.5079
Ga 2.5076 5.3098 5.0157
Tm 2.5154 0.0000 7.5236
Ga 5.0051 1.7364 2.5079
Tm 2.5134 3.5231 7.5236
Tm 0.0000 0.0000 5.0157
Ga 0.0101 5.3097 7.5236
Ga 2.5076 1.7363 5.0157
CELL_PARAMETERS angstrom
5.0153 0.0000 0.0000
0.0000 7.0461 0.0000
0.0000 0.0000 10.0314
```

The following is a DFT calculation (PBE) of crystalline Y3TmGa4 at its relaxed geometry. Values from VASP.

- Symmetry: No. 166
- ΔE_f: -0.592 eV per atom

Structure (Quantum ESPRESSO input):
```
&SYSTEM
  ibrav = 0, nat = 8, ntyp = 3
/
ATOMIC_SPECIES
Tm 168.93 Tm.upf
Y 88.91 Y.upf
Ga 69.72 Ga.upf
ATOMIC_POSITIONS angstrom
Tm 0.0000 0.0000 0.0000
Y -6.8503 -1.8339 0.7681
Ga -4.4512 -3.7259 1.2426
Ga -5.8239 0.9756 -0.0906
Y -3.4213 -0.9064 0.3808
Ga -9.2493 0.0580 0.2936
Y -10.2793 -2.7615 1.1554
Ga -7.8766 -4.6435 1.6268
CELL_PARAMETERS angstrom
-4.0358 2.1277 2.1381
-4.1981 0.7101 -2.6941
-5.4667 -6.5058 2.0922
```

The following is a DFT calculation (PBE) of crystalline Y2TmGa at its relaxed geometry. Values from VASP.

- Symmetry: No. 160
- ΔE_f: -0.208 eV per atom
- Distance to the lowest polymorph of the same formula: 0.372 eV/f.u.

Structure (Quantum ESPRESSO input):
```
&SYSTEM
  ibrav = 0, nat = 4, ntyp = 3
/
ATOMIC_SPECIES
Ga 69.72 Ga.upf
Y 88.91 Y.upf
Tm 168.93 Tm.upf
ATOMIC_POSITIONS angstrom
Ga -2.5388 -1.7862 -2.7891
Y -7.5290 2.5703 2.0566
Y -2.9773 0.0519 -0.4529
Tm -6.5126 0.4125 -0.5982
CELL_PARAMETERS angstrom
-1.7076 0.0865 -3.1840
-2.0887 -2.7724 -1.0062
-9.2421 3.5182 3.0011
```

The following is a DFT calculation (PBE) of crystalline YTm2Ga2 at its relaxed geometry. Values from VASP.

- Symmetry: No. 11
- ΔE_f: -0.364 eV per atom
- Distance to the lowest polymorph of the same formula: 0.743 eV/f.u.

Structure (Quantum ESPRESSO input):
```
&SYSTEM
  ibrav = 0, nat = 10, ntyp = 3
/
ATOMIC_SPECIES
Y 88.91 Y.upf
Tm 168.93 Tm.upf
Ga 69.72 Ga.upf
ATOMIC_POSITIONS angstrom
Y 9.5699 -3.4610 -2.2386
Tm 11.0452 -1.6529 -4.9099
Tm 5.7996 -3.4173 -4.0192
Y 2.9421 -1.2606 -2.9808
Tm 1.4668 -3.0686 -0.3094
Ga 4.4268 -3.2304 -1.3702
Ga 8.0852 -1.4911 -3.8491
Ga 0.6715 -3.2016 -3.4260
Tm 6.7125 -1.3042 -1.2002
Ga 11.8405 -1.5200 -1.7934
CELL_PARAMETERS angstrom
-0.1437 -3.9837 0.2066
0.8449 -0.3205 -5.5932
11.8108 -0.4174 0.1672
```

The following is a DFT calculation (PBE) of crystalline YTm2Ga at its relaxed geometry. Values from VASP.

- Symmetry: No. 123
- ΔE_f: -0.238 eV per atom
- Distance to the lowest polymorph of the same formula: 0.213 eV/f.u.

Structure (Quantum ESPRESSO input):
```
&SYSTEM
  ibrav = 0, nat = 4, ntyp = 3
/
ATOMIC_SPECIES
Ga 69.72 Ga.upf
Tm 168.93 Tm.upf
Y 88.91 Y.upf
ATOMIC_POSITIONS angstrom
Ga 2.3542 2.3382 2.3382
Tm 0.0000 2.3382 0.0000
Tm 0.0000 0.0000 2.3382
Y 2.3542 0.0000 0.0000
CELL_PARAMETERS angstrom
4.7084 0.0000 0.0000
0.0000 4.6763 0.0000
0.0000 0.0000 4.6763
```

The following is a DFT calculation (PBE) of crystalline YTmGa4 at its relaxed geometry. Values from VASP.

- Symmetry: No. 216
- ΔE_f: -0.544 eV per atom
- Distance to the lowest polymorph of the same formula: 0.487 eV/f.u.

Structure (Quantum ESPRESSO input):
```
&SYSTEM
  ibrav = 0, nat = 6, ntyp = 3
/
ATOMIC_SPECIES
Ga 69.72 Ga.upf
Y 88.91 Y.upf
Tm 168.93 Tm.upf
ATOMIC_POSITIONS angstrom
Ga 5.4888 1.5855 2.8006
Ga 6.8601 3.9607 2.8006
Y 0.0000 0.0000 0.0000
Ga 4.1175 3.9607 2.8006
Ga 5.4888 3.1690 0.5613
Tm 2.7444 1.5845 1.1204
CELL_PARAMETERS angstrom
5.4888 0.0000 0.0000
2.7444 4.7534 0.0000
2.7444 1.5845 4.4816
```

The following is a DFT calculation (PBE) of crystalline Y2Tm2ZnGa4 at its relaxed geometry. Values from VASP.

- Symmetry: No. 139
- ΔE_f: -0.297 eV per atom

Structure (Quantum ESPRESSO input):
```
&SYSTEM
  ibrav = 0, nat = 9, ntyp = 4
/
ATOMIC_SPECIES
Ga 69.72 Ga.upf
Zn 65.41 Zn.upf
Tm 168.93 Tm.upf
Y 88.91 Y.upf
ATOMIC_POSITIONS angstrom
Ga 1.7456 0.9552 1.3786
Zn 0.0000 0.0000 0.0000
Tm -4.1087 2.4354 3.5151
Ga -2.9934 -0.2605 3.9708
Y 0.2687 3.8655 1.2805
Ga -2.9934 3.8092 1.1511
Tm -1.8781 1.1132 1.6068
Ga -1.2083 2.7511 3.9708
Y 0.2687 -0.1592 4.0689
CELL_PARAMETERS angstrom
6.5241 0.1576 0.2275
-2.9934 5.7990 -0.2275
-2.9934 -2.2504 5.3494
```

The following is a DFT calculation (PBE) of crystalline YTmZnGa at its relaxed geometry. Values from VASP.

- Symmetry: No. 216
- ΔE_f: -0.487 eV per atom

Structure (Quantum ESPRESSO input):
```
&SYSTEM
  ibrav = 0, nat = 4, ntyp = 4
/
ATOMIC_SPECIES
Zn 65.41 Zn.upf
Y 88.91 Y.upf
Ga 69.72 Ga.upf
Tm 168.93 Tm.upf
ATOMIC_POSITIONS angstrom
Zn -5.4876 2.1854 1.7099
Y -8.2314 3.2781 2.5648
Ga 0.0000 0.0000 0.0000
Tm -2.7438 1.0927 0.8549
CELL_PARAMETERS angstrom
-2.4073 3.9269 1.9984
-4.6145 1.1867 -1.5833
-3.9534 -0.7428 3.0046
```

The following is a DFT calculation (PBE) of crystalline Tm5Zn2Ga at its relaxed geometry. Values from VASP.

- Symmetry: No. 140
- ΔE_f: -0.322 eV per atom

Structure (Quantum ESPRESSO input):
```
&SYSTEM
  ibrav = 0, nat = 16, ntyp = 3
/
ATOMIC_SPECIES
Tm 168.93 Tm.upf
Ga 69.72 Ga.upf
Zn 65.41 Zn.upf
ATOMIC_POSITIONS angstrom
Tm 3.7486 -3.4088 2.8471
Tm -1.8394 2.9884 5.9325
Tm 3.6740 1.8626 4.1000
Ga 2.6607 -0.5543 2.4903
Tm 5.5861 -0.2957 1.5767
Tm 1.8365 -1.2504 5.3704
Zn -4.8528 2.3261 5.7027
Tm -1.7648 -2.2830 4.6796
Ga -0.7516 0.1339 6.2893
Zn -4.8051 -1.6591 4.7647
Tm 0.0000 0.0000 0.0000
Tm -3.6769 -0.1246 7.2029
Zn -1.9718 -0.9498 1.8953
Tm 0.0727 0.8301 3.4092
Tm -3.4123 0.6881 3.7990
Zn -2.0195 3.0354 2.8333
CELL_PARAMETERS angstrom
-2.3762 5.7355 3.8154
-4.4484 -4.3592 3.7827
8.7338 -1.7967 1.1816
```

The following is a DFT calculation (PBE) of crystalline Tm3Zn3Ga2 at its relaxed geometry. Values from VASP.

- Symmetry: No. 63
- ΔE_f: -0.476 eV per atom

Structure (Quantum ESPRESSO input):
```
&SYSTEM
  ibrav = 0, nat = 16, ntyp = 3
/
ATOMIC_SPECIES
Zn 65.41 Zn.upf
Tm 168.93 Tm.upf
Ga 69.72 Ga.upf
ATOMIC_POSITIONS angstrom
Zn -1.7136 -1.7350 0.6465
Tm -10.5011 6.9347 2.7310
Tm -4.2399 -0.0563 1.2726
Ga -8.4603 2.3053 3.6357
Ga -1.2957 0.2186 2.2317
Ga -11.8973 4.6731 4.2379
Zn -10.1251 3.9339 2.4946
Zn -6.7524 1.7363 1.5293
Zn -6.4405 3.1553 4.9403
Zn -11.4793 6.6267 5.8231
Tm -7.1998 4.6604 2.1526
Zn -3.0679 0.9577 3.9750
Tm -2.6919 -2.0430 3.7386
Tm -8.9531 4.9479 5.1970
Tm -5.9932 0.2312 4.3170
Ga -4.7327 2.5864 2.8338
CELL_PARAMETERS angstrom
-2.5034 -3.3476 -1.1256
1.0665 0.1404 5.5355
-11.7560 8.0989 2.0596
```

The following is a DFT calculation (PBE) of crystalline Tm2ZnGa5 at its relaxed geometry. Values from VASP.

- Symmetry: No. 107
- ΔE_f: -0.483 eV per atom

Structure (Quantum ESPRESSO input):
```
&SYSTEM
  ibrav = 0, nat = 8, ntyp = 3
/
ATOMIC_SPECIES
Ga 69.72 Ga.upf
Tm 168.93 Tm.upf
Zn 65.41 Zn.upf
ATOMIC_POSITIONS angstrom
Ga -2.0786 -4.3525 -0.9498
Ga -1.0086 -0.1620 1.8582
Ga 1.6256 -4.5200 1.0462
Tm 0.7376 -2.3478 2.8786
Tm -2.9685 -2.1802 0.8816
Zn -0.3342 -6.5450 0.0711
Ga -0.1189 -2.3295 0.0253
Ga -1.2222 -4.3653 1.9020
CELL_PARAMETERS angstrom
-1.7778 4.3452 3.6639
-3.9207 -4.0357 -1.9513
3.4915 -4.3708 2.0426
```

The following is a DFT calculation (PBE) of crystalline TmZn4Ga2 at its relaxed geometry. Values from VASP.

- Symmetry: No. 65
- ΔE_f: -0.252 eV per atom

Structure (Quantum ESPRESSO input):
```
&SYSTEM
  ibrav = 0, nat = 7, ntyp = 3
/
ATOMIC_SPECIES
Zn 65.41 Zn.upf
Ga 69.72 Ga.upf
Tm 168.93 Tm.upf
ATOMIC_POSITIONS angstrom
Zn 2.0153 2.0415 4.6093
Zn 0.0000 2.0415 2.7849
Zn 2.0153 0.0000 2.7134
Ga 2.0153 2.0415 1.2111
Zn 0.0000 0.0000 4.5378
Tm 0.0000 0.0000 0.0000
Ga 2.0153 0.0000 6.1116
CELL_PARAMETERS angstrom
4.0307 0.0000 0.0000
0.0000 4.0830 0.0000
0.0000 -2.0415 7.3227
```

The following is a DFT calculation (PBE) of crystalline Tm3ZnGa3 at its relaxed geometry. Values from VASP.

- Symmetry: No. 12
- ΔE_f: -0.586 eV per atom
- Distance to the lowest polymorph of the same formula: 0.000 eV/f.u.

Structure (Quantum ESPRESSO input):
```
&SYSTEM
  ibrav = 0, nat = 14, ntyp = 3
/
ATOMIC_SPECIES
Ga 69.72 Ga.upf
Tm 168.93 Tm.upf
Zn 65.41 Zn.upf
ATOMIC_POSITIONS angstrom
Ga 5.3391 3.7967 8.1930
Tm 2.4774 1.5453 12.6450
Tm 3.5221 3.6755 5.7092
Ga 0.6369 0.9348 10.3176
Ga 4.1355 0.8193 1.6376
Ga 1.2485 1.5438 6.2574
Tm 1.7029 1.3947 3.2405
Zn 3.0722 4.8031 8.6959
Tm 3.0654 1.6650 8.7413
Tm 4.1102 3.7953 1.8054
Ga 2.4521 4.5212 12.8129
Tm 4.8846 3.9458 11.2100
Zn 3.5153 0.5375 5.7545
Ga 5.9507 4.4057 4.1329
CELL_PARAMETERS angstrom
4.2849 0.0000 0.6455
2.1134 5.2864 0.5155
0.1892 0.0541 13.2894
```

The following is a DFT calculation (PBE) of crystalline Tm2ZnGa12 at its relaxed geometry. Values from VASP.

- Symmetry: No. 125
- ΔE_f: -0.221 eV per atom

Structure (Quantum ESPRESSO input):
```
&SYSTEM
  ibrav = 0, nat = 30, ntyp = 3
/
ATOMIC_SPECIES
Tm 168.93 Tm.upf
Ga 69.72 Ga.upf
Zn 65.41 Zn.upf
ATOMIC_POSITIONS angstrom
Tm -9.0102 -3.3522 6.7508
Ga -5.9500 1.1224 -2.9323
Ga -10.3325 -3.1364 0.9464
Tm -4.2645 0.5246 2.1931
Ga -1.7240 -1.4083 1.6557
Tm -8.4667 -6.9334 4.2706
Ga -12.1434 -3.9201 6.8842
Ga -7.1206 -3.1384 4.2891
Ga -7.0966 -0.4703 3.0090
Ga -9.1913 -0.8386 0.5147
Zn -1.4264 -1.1822 -2.4908
Ga -9.5744 -1.1404 3.4336
Ga -4.5276 2.3094 -0.4415
Ga -11.0072 -5.0005 4.8080
Ga -13.5738 -5.0974 4.3934
Ga -5.6105 -3.2704 2.1746
Ga -7.8787 -5.1345 1.8019
Ga -3.2284 -2.6373 3.1005
Ga -3.9772 -1.2743 -2.9168
Tm -3.7210 -3.0566 -0.2871
Ga -2.5548 -0.0873 -0.4260
Ga -7.6109 -6.2174 7.3093
Ga -7.7052 -3.6387 -0.3198
Ga -11.6067 -7.4989 4.3989
Ga -10.1764 -6.3215 6.8897
Zn -1.9699 2.3991 -0.0105
Ga -6.1064 -4.9884 5.8645
Ga -9.5028 -3.7715 3.3632
Ga -6.6247 -1.4204 0.5992
Ga -5.1203 -0.1914 -0.8456
CELL_PARAMETERS angstrom
-3.9398 4.7981 -0.0211
-2.8528 -2.3643 -4.9816
-9.3348 -7.6257 8.9650
```

The following is a DFT calculation (PBE) of crystalline Tm2ZnGa at its relaxed geometry. Values from VASP.

- Symmetry: No. 123
- ΔE_f: -0.474 eV per atom

Structure (Quantum ESPRESSO input):
```
&SYSTEM
  ibrav = 0, nat = 4, ntyp = 3
/
ATOMIC_SPECIES
Tm 168.93 Tm.upf
Zn 65.41 Zn.upf
Ga 69.72 Ga.upf
ATOMIC_POSITIONS angstrom
Tm 0.0000 0.0000 2.4954
Zn 1.7503 2.4954 2.4954
Tm 0.0000 2.4954 0.0000
Ga 1.7503 0.0000 0.0000
CELL_PARAMETERS angstrom
3.5007 0.0000 0.0000
0.0000 4.9908 0.0000
0.0000 0.0000 4.9908
```

The following is a DFT calculation (PBE) of crystalline Tm4ZnGa3 at its relaxed geometry. Values from VASP.

- Symmetry: No. 25
- ΔE_f: -0.532 eV per atom
- Distance to the lowest polymorph of the same formula: 0.000 eV/f.u.

Structure (Quantum ESPRESSO input):
```
&SYSTEM
  ibrav = 0, nat = 8, ntyp = 3
/
ATOMIC_SPECIES
Ga 69.72 Ga.upf
Tm 168.93 Tm.upf
Zn 65.41 Zn.upf
ATOMIC_POSITIONS angstrom
Ga -6.1639 -2.2171 0.4650
Tm -9.1685 -2.3424 0.9887
Tm -4.2154 -1.5171 -1.8792
Ga -4.5336 -0.1891 0.7902
Tm -7.2087 0.3180 -0.7481
Zn -1.2009 -1.3914 -2.4046
Tm -1.5278 -0.0637 0.2663
Ga -10.1888 0.1937 -0.2287
CELL_PARAMETERS angstrom
-0.7270 1.2070 -3.8824
-0.0474 -3.9219 -1.2104
-10.6647 -0.4448 1.8588
```

The following is a DFT calculation (PBE) of crystalline Tm4Zn3Ga at its relaxed geometry. Values from VASP.

- Symmetry: No. 166
- ΔE_f: -0.415 eV per atom
- Distance to the lowest polymorph of the same formula: 0.000 eV/f.u.

Structure (Quantum ESPRESSO input):
```
&SYSTEM
  ibrav = 0, nat = 8, ntyp = 3
/
ATOMIC_SPECIES
Ga 69.72 Ga.upf
Zn 65.41 Zn.upf
Tm 168.93 Tm.upf
ATOMIC_POSITIONS angstrom
Ga 0.0000 0.0000 0.0000
Zn 1.7341 1.0594 2.9106
Tm 0.8977 0.5484 5.7439
Tm 2.6466 1.6168 8.6046
Tm 6.0959 3.7241 5.7045
Tm 4.3471 2.6557 2.8437
Zn 5.2596 3.2131 8.5378
Zn 3.4968 2.1363 5.7242
CELL_PARAMETERS angstrom
4.7708 0.0000 1.4083
2.1776 4.2449 1.4083
0.0453 0.0277 8.6318
```

The following is a DFT calculation (PBE) of crystalline Tm6Zn2Ga at its relaxed geometry. Values from VASP.

- Symmetry: No. 71
- ΔE_f: -0.272 eV per atom
- Distance to the lowest polymorph of the same formula: 0.000 eV/f.u.

Structure (Quantum ESPRESSO input):
```
&SYSTEM
  ibrav = 0, nat = 18, ntyp = 3
/
ATOMIC_SPECIES
Ga 69.72 Ga.upf
Zn 65.41 Zn.upf
Tm 168.93 Tm.upf
ATOMIC_POSITIONS angstrom
Ga 0.0000 0.0000 0.0000
Zn 0.1510 -2.1302 4.5487
Tm -3.5599 0.7220 4.9854
Tm 4.2001 1.4534 4.3352
Tm 2.4737 -1.3768 3.0755
Tm 5.8761 -1.6260 3.8008
Zn -0.1467 5.4817 2.5720
Zn -0.0832 3.1102 1.4593
Tm 1.1225 3.2817 4.2478
Ga 4.7752 -0.3498 1.0180
Tm 1.2936 0.3664 6.0201
Tm 2.3027 1.5385 1.3032
Tm -2.2799 3.5310 3.5225
Tm -0.6039 0.4515 2.9880
Tm 7.1562 1.1829 2.3379
Tm -1.6060 -1.4710 7.0284
Zn 3.4452 4.0351 2.7746
Tm 5.2023 3.3760 0.2949
CELL_PARAMETERS angstrom
-5.9542 2.6046 5.2874
3.8262 -6.6869 3.2920
5.7242 5.9873 -1.2561
```

The following is a DFT calculation (PBE) of crystalline Tm4Zn3Ga at its relaxed geometry. Values from VASP.

- Symmetry: No. 25
- ΔE_f: -0.377 eV per atom
- Distance to the lowest polymorph of the same formula: 0.297 eV/f.u.

Structure (Quantum ESPRESSO input):
```
&SYSTEM
  ibrav = 0, nat = 8, ntyp = 3
/
ATOMIC_SPECIES
Tm 168.93 Tm.upf
Zn 65.41 Zn.upf
Ga 69.72 Ga.upf
ATOMIC_POSITIONS angstrom
Tm 0.0000 2.2099 9.3981
Zn 1.8282 0.0000 10.3160
Tm 1.8282 2.2099 3.8948
Ga 1.8282 2.2099 0.8147
Zn 0.0000 0.0000 4.7613
Zn 0.0000 2.2099 6.3481
Tm 1.8282 0.0000 7.2327
Tm 0.0000 0.0000 1.7008
CELL_PARAMETERS angstrom
3.6564 0.0000 0.0000
0.0000 4.4199 0.0000
0.0000 0.0000 11.1166
```

The following is a DFT calculation (PBE) of crystalline TmZn2Ga at its relaxed geometry. Values from VASP.

- Symmetry: No. 63
- ΔE_f: -0.413 eV per atom

Structure (Quantum ESPRESSO input):
```
&SYSTEM
  ibrav = 0, nat = 16, ntyp = 3
/
ATOMIC_SPECIES
Tm 168.93 Tm.upf
Zn 65.41 Zn.upf
Ga 69.72 Ga.upf
ATOMIC_POSITIONS angstrom
Tm 2.0242 4.4586 -0.4768
Tm 1.1104 6.6879 4.7144
Tm 2.0242 0.0000 -0.4768
Tm 2.7519 2.2293 2.6127
Zn 3.6870 6.6879 6.5831
Zn 2.7315 7.9731 2.5263
Ga 3.3356 4.7075 5.0910
Zn 1.1308 0.9441 4.8008
Zn 3.4794 2.2293 5.7015
Ga 0.5267 0.2489 2.2362
Zn 0.3829 6.6879 1.6256
Ga 3.3356 8.6684 5.0910
Zn 1.1308 3.5145 4.8008
Zn 2.7315 5.4027 2.5263
Zn 0.1753 2.2293 0.7440
Ga 0.5267 4.2097 2.2362
CELL_PARAMETERS angstrom
4.0484 0.0000 -0.9535
0.0000 8.9172 0.0000
-0.1861 0.0000 8.2807
```

no.,total magnetic moment (μB per atom),E (eV/atom)
1,0.000,-4.573
2,0.000,-5.088
3,0.189,-5.315
4,0.000,-4.657
5,0.000,-4.847
6,0.000,-4.384
7,0.001,-4.214
8,0.000,-4.296
9,0.000,-3.814
10,0.000,-3.387
11,0.000,-3.652
12,0.000,-2.483
13,0.000,-3.982
14,0.000,-3.323
15,0.000,-3.785
16,0.000,-4.062
17,0.000,-3.506
18,0.000,-3.873
19,0.000,-3.469
20,0.000,-2.925